The following is a PBE+U calculation of a geometry-optimized CoCuRhO4 structure, from the Alexandria database.

Cell and atoms, written as CIF:
```
data_CoCuRhO4
_chemical_formula_sum 'Co2 Cu2 Rh2 O8'
_symmetry_space_group_name_H-M 'P 1'
_symmetry_Int_Tables_number 1
_cell_length_a 5.785
_cell_length_b 5.916
_cell_length_c 6.087
_cell_angle_alpha 120.96
_cell_angle_beta 90.00
_cell_angle_gamma 119.27
loop_
_symmetry_equiv_pos_as_xyz
'x,y,z'
loop_
_atom_site_label
_atom_site_type_symbol
_atom_site_fract_x
_atom_site_fract_y
_atom_site_fract_z
O1 O 0.749 0.034 0.267
O2 O 0.715 0.966 0.733
O3 O 0.744 0.488 0.279
O4 O 0.744 0.488 0.708
O5 O 0.256 0.512 0.721
O6 O 0.256 0.512 0.292
O7 O 0.251 0.966 0.733
O8 O 0.285 0.034 0.267
Co1 Co 0.500 0.500 0.500
Co2 Co 0.000 0.500 0.500
Cu1 Cu 0.135 0.271 0.885
Cu2 Cu 0.865 0.729 0.115
Rh1 Rh 0.500 0.000 0.500
Rh2 Rh 0.500 0.000 0.000
```

## Properties
Density = 6.55 Mg/m³
Crystal system = orthorhombic
Space-group type = No. 74
E_tot = -5.96 eV/atom
Total magnetic moment = 0.9 μB/f.u.